# 1
# PmNd3Y6Sc2

An optimized crystal structure of PmNd3Y6Sc2 (PBE-GGA, the Alexandria database).

Computed properties:
magnetic moment: 0.00 μB/cell
symmetry: No. 12
E_form: 0.04 eV/atom

Cell: 6.1644 6.1644 11.7599 Å, 95.00 95.00 119.99°
Atoms (fractional coordinates):
Y1 0.2551 0.2551 0.7572
Y2 0.7449 0.7449 0.2428
Y3 0.4176 0.0815 0.2427
Y4 0.0815 0.4176 0.2427
Y5 0.9185 0.5824 0.7573
Y6 0.5824 0.9185 0.7573
Nd1 0.5000 0.5000 0.5000
Nd2 0.1671 0.8329 0.5000
Nd3 0.8329 0.1671 0.5000
Sc1 0.6668 0.3332 0.0000
Sc2 0.3332 0.6668 0.0000
Pm1 0.0000 0.0000 0.0000

***

# 2
# Li2TiBr6

An optimized crystal structure of Li2TiBr6 (PBE-GGA, the Alexandria database).

Computed properties:
magnetic moment: 0.00 μB/cell
symmetry: No. 136
formation energy (no corrections): -1264 meV/atom

Cell: 6.4187 6.4187 11.6229 Å, 90.00 90.00 90.00°
Atoms (fractional coordinates):
Br1 0.6923 0.6923 0.6562
Br2 0.6923 0.6923 0.3438
Br3 0.1923 0.8077 0.1562
Br4 0.3077 0.3077 0.6562
Br5 0.1923 0.8077 0.8438
Br6 0.8077 0.1923 0.1562
Br7 0.7825 0.2175 0.5000
Br8 0.3077 0.3077 0.3438
Br9 0.2825 0.2825 0.0000
Br10 0.2175 0.7825 0.5000
Br11 0.7175 0.7175 0.0000
Br12 0.8077 0.1923 0.8438
Li1 0.5000 0.5000 0.1673
Li2 0.0000 0.0000 0.6673
Li3 0.0000 0.0000 0.3327
Li4 0.5000 0.5000 0.8327
Ti1 0.5000 0.5000 0.5000
Ti2 0.0000 0.0000 0.0000

***

# 3
# Ca2CoSe

An optimized crystal structure of Ca2CoSe (PBE-GGA, the Alexandria database).

Computed properties:
magnetic moment: 1.00 μB/cell
symmetry: No. 38
formation energy (no corrections): -628 meV/atom

Cell: 4.0688 4.0834 5.8824 Å, 69.70 90.00 90.00°
Each line ends with the local moment (μB).
Atoms (fractional coordinates):
Ca1 0.5000 0.2657 0.3434  -0.04
Ca2 0.0000 0.9827 0.9099  -0.04
Se1 0.5000 0.5575 0.7604  0.02
Co1 0.0000 0.6941 0.4862  1.28

***

# 4
# Mg2BeGe2Ir5

An optimized crystal structure of Mg2BeGe2Ir5 (PBE-GGA, the Alexandria database).

Computed properties:
magnetic moment: 0.00 μB/cell
symmetry: No. 127
E_form: -0.26 eV/atom

Cell: 3.0682 9.9166 9.9166 Å, 90.00 90.00 90.00°
Atoms (fractional coordinates):
Mg1 0.0000 0.6686 0.1686
Mg2 0.0000 0.3314 0.8314
Mg3 0.0000 0.1686 0.3314
Mg4 0.0000 0.8314 0.6686
Ir1 0.5000 0.6863 0.4365
Ir2 0.5000 0.5635 0.6863
Ir3 0.5000 0.8137 0.9365
Ir4 0.5000 0.0635 0.8137
Ir5 0.5000 0.9365 0.1863
Ir6 0.5000 0.3137 0.5635
Ir7 0.5000 0.5000 0.0000
Ir8 0.5000 0.4365 0.3137
Ir9 0.5000 0.1863 0.0635
Ir10 0.5000 0.0000 0.5000
Ge1 0.0000 0.1385 0.6385
Ge2 0.0000 0.6385 0.8615
Ge3 0.0000 0.3615 0.1385
Ge4 0.0000 0.8615 0.3615
Be1 0.0000 0.0000 0.0000
Be2 0.0000 0.5000 0.5000

***

# 5
# TmSeClO3

An optimized crystal structure of TmSeClO3 (PBE-GGA, the Alexandria database).

Computed properties:
magnetic moment: 0.00 μB/cell
symmetry: No. 62
formation energy (no corrections): -2049 meV/atom

Cell: 6.9243 7.3292 8.7406 Å, 90.00 90.00 90.00°
Atoms (fractional coordinates):
O1 0.4287 0.3625 0.0686
O2 0.4287 0.8625 0.4314
O3 0.2500 0.2497 0.3251
O4 0.5713 0.6375 0.9314
O5 0.9287 0.6375 0.9314
O6 0.9287 0.1375 0.5686
O7 0.7500 0.7503 0.6749
O8 0.0713 0.8625 0.4314
O9 0.7500 0.2503 0.8251
O10 0.0713 0.3625 0.0686
O11 0.2500 0.7497 0.1749
O12 0.5713 0.1375 0.5686
Se1 0.7500 0.7883 0.8665
Se2 0.2500 0.2117 0.1335
Se3 0.2500 0.7117 0.3665
Se4 0.7500 0.2883 0.6335
Tm1 0.2500 0.5998 0.9598
Tm2 0.2500 0.0998 0.5402
Tm3 0.7500 0.4002 0.0402
Tm4 0.7500 0.9002 0.4598
Cl1 0.7500 0.0691 0.1848
Cl2 0.2500 0.9309 0.8152
Cl3 0.7500 0.5691 0.3152
Cl4 0.2500 0.4309 0.6848

***

# 6
# CePr5Y4

An optimized crystal structure of CePr5Y4 (PBE-GGA, the Alexandria database).

Computed properties:
magnetic moment: 1.59 μB/cell
symmetry: No. 123
E_form: 0.12 eV/atom

Cell: 4.2397 4.2397 19.0407 Å, 90.00 90.00 90.00°
Each line ends with the local moment (μB).
Atoms (fractional coordinates):
Y1 0.0000 0.0000 0.6012  0.00
Y2 0.0000 0.0000 0.8045  0.02
Y3 0.0000 0.0000 0.1955  0.02
Y4 0.0000 0.0000 0.3988  0.00
Pr1 0.5000 0.5000 0.7016  0.00
Pr2 0.5000 0.5000 0.9054  0.09
Pr3 0.5000 0.5000 0.0946  0.09
Pr4 0.5000 0.5000 0.2984  0.00
Pr5 0.5000 0.5000 0.5000  0.01
Ce1 0.0000 0.0000 0.0000  0.88

***

Question: Which formula does entry 4 have?
Answer: Mg2BeGe2Ir5

***

Please write out number 6 again, unchanged.
# CePr5Y4

An optimized crystal structure of CePr5Y4 (PBE-GGA, the Alexandria database).

Computed properties:
magnetic moment: 1.59 μB/cell
symmetry: No. 123
E_form: 0.12 eV/atom

Cell: 4.2397 4.2397 19.0407 Å, 90.00 90.00 90.00°
Each line ends with the local moment (μB).
Atoms (fractional coordinates):
Y1 0.0000 0.0000 0.6012  0.00
Y2 0.0000 0.0000 0.8045  0.02
Y3 0.0000 0.0000 0.1955  0.02
Y4 0.0000 0.0000 0.3988  0.00
Pr1 0.5000 0.5000 0.7016  0.00
Pr2 0.5000 0.5000 0.9054  0.09
Pr3 0.5000 0.5000 0.0946  0.09
Pr4 0.5000 0.5000 0.2984  0.00
Pr5 0.5000 0.5000 0.5000  0.01
Ce1 0.0000 0.0000 0.0000  0.88